[1]
Crystalline TbPuTl at its relaxed geometry, computed with GGA-PBE.

ΔE_f	0.0651	eV/atom
raw total energy	-7.044	eV/atom
excess energy over the best structure of this formula in the dataset	8.7	kJ per mole of atoms

The structure in POSCAR format:
```
TbPuTl
1.0
5.681 0.000 0.000
-2.841 4.920 0.000
0.000 0.000 6.050
Tb Pu Tl
2 2 2
Direct
0.333 0.667 0.250 Tb
0.667 0.333 0.750 Tb
0.000 0.000 0.250 Pu
0.000 0.000 0.750 Pu
0.333 0.667 0.750 Tl
0.667 0.333 0.250 Tl
```

***

[2]
Crystalline Li2TaAg at its relaxed geometry, computed with GGA-PBE.

ΔE_f	0.1428	eV/atom
raw total energy	-4.490	eV/atom
excess energy over the best structure of this formula in the dataset	0.0	kJ per mole of atoms

The structure in POSCAR format:
```
Li2TaAg
1.0
1.550 -2.264 0.000
1.550 2.264 0.000
0.000 0.000 9.661
Li Ta Ag
2 1 1
Direct
0.000 0.000 0.239 Li
0.000 0.000 0.761 Li
0.500 0.500 0.500 Ta
0.500 0.500 0.000 Ag
```

***

[3]
Crystalline CaP2Os at its relaxed geometry, computed with GGA-PBE.

ΔE_f	-0.1440	eV/atom
raw total energy	-6.157	eV/atom
excess energy over the best structure of this formula in the dataset	44.1	kJ per mole of atoms

The structure in POSCAR format:
```
CaP2Os
1.0
0.000 3.154 3.154
3.154 0.000 3.154
3.154 3.154 0.000
Ca P Os
1 2 1
Direct
0.000 0.000 0.000 Ca
0.250 0.250 0.250 P
0.750 0.750 0.750 P
0.500 0.500 0.500 Os
```

***

[4]
Crystalline Sr3Zn9Ga2 at its relaxed geometry, computed with GGA-PBE.

ΔE_f	-0.2287	eV/atom
raw total energy	-1.840	eV/atom

The structure in POSCAR format:
```
Sr3Zn9Ga2
1.0
-2.228 4.941 6.622
2.228 -4.941 6.622
2.228 4.941 -6.622
Sr Zn Ga
3 9 2
Direct
0.000 0.000 0.000 Sr
0.305 0.305 0.000 Sr
0.695 0.695 0.000 Sr
0.026 0.667 0.359 Zn
0.154 0.870 0.283 Zn
0.308 0.667 0.641 Zn
0.413 0.130 0.283 Zn
0.500 0.000 0.500 Zn
0.587 0.870 0.717 Zn
0.692 0.333 0.359 Zn
0.846 0.130 0.717 Zn
0.974 0.333 0.641 Zn
0.288 0.500 0.788 Ga
0.712 0.500 0.212 Ga
```

***

Q: Look up the raw total energy of the first one.
A: -7.044 eV/atom

***

Q: ΔE_f of number 3 (CaP2Os)?
A: -0.1440 eV/atom